1.
Computed, not measured: Ca3Tl5In after structural relaxation at the PBE level of DFT.

E_tot: -44.05 eV/cell
Density of states at the Fermi level: 12.4 states/eV/cell
Energy of formation: -161 meV per atom
Energy relative to the lowest polymorph listed for this composition: 1.08 eV/f.u.

Cell: 9.6233 9.6233 9.1831 Å, 121.60 121.60 90.00°
With the nearest neighbours (Å) after each atom.
Fractional positions:
Tl (0.8303, 0.9505, 0.2809)  1 In 2.92, 1 Ca 3.08, 1 Tl 3.16
Tl (0.3303, 0.8303, 0.2809)  1 In 2.92, 1 Ca 3.08, 1 Tl 3.16
Tl (0.6697, 0.1697, 0.7191)  1 In 2.92, 1 Ca 3.08, 1 Tl 3.16
Tl (0.4505, 0.3303, 0.2809)  1 In 2.92, 1 Ca 3.08, 1 Tl 3.16
Tl (0.1697, 0.0495, 0.7191)  1 In 2.92, 1 Ca 3.08, 1 Tl 3.16
Tl (0.9505, 0.4505, 0.2809)  1 In 2.92, 1 Ca 3.08, 1 Tl 3.16
Tl (0.0000, 0.0000, 0.0000)  2 Ca 3.08
Tl (0.5000, 0.5000, 0.0000)  2 Ca 3.08
Tl (0.0495, 0.5495, 0.7191)  1 In 2.92, 1 Ca 3.08, 1 Tl 3.16
Tl (0.5495, 0.6697, 0.7191)  1 In 2.92, 1 Ca 3.08, 1 Tl 3.16
Ca (0.8768, 0.6232, 0.0000)  2 Tl 3.08, 1 Ca 3.35
Ca (0.7500, 0.7500, 0.5000)  2 Tl 3.08
Ca (0.2500, 0.2500, 0.5000)  2 Tl 3.08
Ca (0.1232, 0.3768, 0.0000)  2 Tl 3.08, 1 Ca 3.35
Ca (0.3768, 0.8768, 0.0000)  2 Tl 3.08, 1 Ca 3.35
Ca (0.6232, 0.1232, 0.0000)  2 Tl 3.08, 1 Ca 3.35
In (0.7500, 0.2500, 0.5000)  4 Tl 2.92
In (0.2500, 0.7500, 0.5000)  4 Tl 2.92

***

2.
Computed, not measured: VGaReRh after structural relaxation at the PBE level of DFT.

E_tot: -33.17 eV/cell
Density of states at the Fermi level: 0.7 states/eV/cell
Energy of formation: -307 meV per atom

Cell: 4.3007 4.3007 4.3007 Å, 60.00 60.00 60.00°
With the nearest neighbours (Å) after each atom.
Fractional positions:
Re (0.2500, 0.2500, 0.2500)  4 Ga 2.63, 4 V 2.63
Rh (0.7500, 0.7500, 0.7500)  4 V 2.63, 4 Ga 2.63
V (0.0000, 0.0000, 0.0000)  4 Rh 2.63, 4 Re 2.63
Ga (0.5000, 0.5000, 0.5000)  4 Re 2.63, 4 Rh 2.63

***

3.
Computed, not measured: BaIO4 after structural relaxation at the PBE level of DFT.

E_tot: -60.77 eV/cell
Density of states at the Fermi level: 2.1 states/eV/cell
Energy relative to the lowest polymorph listed for this composition: 0.24 eV/f.u.

Cell: 6.3382 6.8527 6.4481 Å, 108.15 90.02 117.53°
With the nearest neighbours (Å) after each atom.
Fractional positions:
O (0.1507, 0.3213, 0.6007)  1 I 1.84
O (0.4605, 0.7451, 0.5103)  1 I 1.92
O (0.8292, 0.6787, 0.8992)  1 I 1.84
O (0.2945, 0.7853, 0.0304)  1 I 1.91
O (0.9392, 0.7111, 0.3286)  1 I 1.85
O (0.5096, 0.2150, 0.4698)  1 I 1.91
O (0.7150, 0.2550, 0.9899)  1 I 1.92
O (0.2279, 0.2889, 0.1713)  1 I 1.85
Ba (0.7416, 0.9999, 0.2499)  8 O 2.65-2.94
Ba (0.2524, 0.9999, 0.7500)  8 O 2.74-2.97
I (0.4056, 0.4317, 0.4539)  4 O 1.84-1.92
I (0.9738, 0.5682, 0.0460)  4 O 1.84-1.92

***

4.
Computed, not measured: MgTlZn2 after structural relaxation at the PBE level of DFT.

E_tot: -6.04 eV/cell
Density of states at the Fermi level: 1.0 states/eV/cell
Energy of formation: 116 meV per atom
Energy relative to the lowest polymorph listed for this composition: 0.25 eV/f.u.

Cell: 4.9066 4.9066 4.9066 Å, 60.00 60.00 60.00°
With the nearest neighbours (Å) after each atom.
Fractional positions:
Tl (0.7500, 0.7500, 0.7500)  4 Mg 3.00, 4 Zn 3.00
Zn (0.2500, 0.2500, 0.2500)  4 Mg 3.00, 4 Zn 3.00
Zn (0.0000, 0.0000, 0.0000)  4 Tl 3.00, 4 Zn 3.00
Mg (0.5000, 0.5000, 0.5000)  4 Tl 3.00, 4 Zn 3.00

***

5.
Computed, not measured: TlPt3F after structural relaxation at the PBE level of DFT.

E_tot: -19.22 eV/cell
Density of states at the Fermi level: 10.6 states/eV/cell
Energy relative to the lowest polymorph listed for this composition: 0.00 eV/f.u.

Cell: 4.4815 4.4815 4.4815 Å, 90.00 90.00 90.00°
With the nearest neighbours (Å) after each atom.
Fractional positions:
Pt (0.0000, 0.0000, 0.5000)  2 F 2.24
Pt (0.0000, 0.5000, 0.0000)  2 F 2.24
Pt (0.5000, 0.0000, 0.0000)  2 F 2.24
Tl (0.5000, 0.5000, 0.5000)  12 Pt 3.17
F (0.0000, 0.0000, 0.0000)  6 Pt 2.24

***

6.
Computed, not measured: SiSb2 after structural relaxation at the PBE level of DFT.

E_tot: -12.54 eV/cell
Density of states at the Fermi level: 1.2 states/eV/cell
Energy relative to the lowest polymorph listed for this composition: 0.58 eV/f.u.

Cell: 6.2216 6.2216 6.2216 Å, 146.73 146.73 47.76°
With the nearest neighbours (Å) after each atom.
Fractional positions:
Sb (0.3643, 0.3643, 0.0000)  4 Si 2.95, 1 Sb 3.09
Sb (0.6357, 0.6357, 0.0000)  4 Si 2.95, 1 Sb 3.09
Si (0.0000, 0.0000, 0.0000)  8 Sb 2.95